Record 1
Computed, not measured: crystalline TcPtBr2 at its relaxed geometry at the GGA-PBE level of DFT.

Properties
total magnetization	3.000	Bohr magnetons per cell
energy above the most stable polymorph in this dataset	0.0	meV per atom
formation energy without anion corrections	0.042	eV/atom
space group	Cm

Cell lengths 3.7223, 3.7223, 8.7126 Å; angles 78.49, 78.49, 60.00 degrees
Closest atoms and distances in Å follow each position.
Fractional positions:
1 Br 0.9620 0.9620 0.0953  3 Tc 2.72
2 Br 0.7880 0.7880 0.6548  3 Pt 2.72
3 Tc 0.2341 0.2341 0.2921  3 Pt 2.57, 3 Br 2.72
4 Pt 0.5159 0.5159 0.4578  3 Tc 2.57, 3 Br 2.72

Record 2
Computed, not measured: crystalline TcPtBr2 at its relaxed geometry at the GGA-PBE level of DFT.

Properties
total magnetization	0.003	Bohr magnetons per cell
energy above the most stable polymorph in this dataset	942.1	meV per atom
formation energy without anion corrections	0.984	eV/atom
space group	I4/mmm

Cell lengths 4.8150, 4.8150, 4.8150 Å; angles 125.54, 125.54, 80.64 degrees
Closest atoms and distances in Å follow each position.
Fractional positions:
1 Br 0.0000 0.0000 0.0000  4 Tc 2.87, 4 Pt 2.87, 4 Br 3.12
2 Br 0.5000 0.5000 0.0000  4 Pt 2.87, 4 Tc 2.87, 4 Br 3.12
3 Tc 0.7500 0.2500 0.5000  8 Br 2.87, 4 Pt 3.12
4 Pt 0.2500 0.7500 0.5000  8 Br 2.87, 4 Tc 3.12

Record 3
Computed, not measured: crystalline Tc2PtBr at its relaxed geometry at the GGA-PBE level of DFT.

Properties
total magnetization	0.000	Bohr magnetons per cell
energy above the most stable polymorph in this dataset	530.1	meV per atom
formation energy without anion corrections	0.860	eV/atom
space group	Immm

Cell lengths 5.4321, 5.4321, 5.4321 Å; angles 148.50, 129.73, 60.54 degrees
Closest atoms and distances in Å follow each position.
Fractional positions:
1 Br 0.7500 0.2500 0.5000  4 Tc 2.64, 4 Pt 2.74, 2 Br 2.95
2 Tc 0.9829 0.9829 0.0000  2 Br 2.64, 6 Tc 2.76-2.95, 2 Pt 2.91
3 Tc 0.5171 0.5171 0.0000  2 Br 2.64, 6 Tc 2.76-2.95, 2 Pt 2.91
4 Pt 0.2500 0.7500 0.5000  4 Br 2.74, 4 Tc 2.91, 2 Pt 2.95

Record 4
Computed, not measured: crystalline TcPtBr2 at its relaxed geometry at the GGA-PBE level of DFT.

Properties
total magnetization	0.392	Bohr magnetons per cell
energy above the most stable polymorph in this dataset	722.0	meV per atom
formation energy without anion corrections	0.764	eV/atom
space group	R-3m

Cell lengths 12.0271, 12.0271, 12.0271 Å; angles 13.80, 13.80, 13.80 degrees
Closest atoms and distances in Å follow each position.
Fractional positions:
1 Br 0.9328 0.9328 0.9328  1 Tc 2.40
2 Br 0.0672 0.0672 0.0672  1 Tc 2.40
3 Tc 0.0000 0.0000 0.0000  2 Br 2.40
4 Pt 0.5000 0.5000 0.5000  6 Pt 2.89